This record from the Alexandria database describes crystalline MgTeCl2 at its relaxed geometry. The functional is GGA-PBE.

CIF file:
```
data_MgTeCl2
_space_group_name_H-M_alt 'P 1 m 1'
_space_group_IT_number 6
_cell_length_a 4.8569
_cell_length_b 4.3774
_cell_length_c 5.5750
_cell_angle_alpha 90.00
_cell_angle_beta 98.34
_cell_angle_gamma 90.00
loop_
_space_group_symop_operation_xyz
'x,y,z'
'x,-y,z'
loop_
_atom_site_label
_atom_site_type_symbol
_atom_site_fract_x
_atom_site_fract_y
_atom_site_fract_z
Mg1 Mg 0.0000 0.0000 0.0000
Te1 Te 0.2022 0.5000 0.3118
Cl1 Cl 0.4961 0.0000 0.9155
Cl2 Cl 0.9349 0.5000 0.6533
```

formation energy from raw total energies: -888 meV per atom
E_tot: -3.00 eV per atom
energy above the lowest structure with this stoichiometry: 304.7 meV/atom

=====

This record from the Alexandria database describes crystalline NaNpN2 at its relaxed geometry. The functional is GGA-PBE.

CIF file:
```
data_NaNpN2
_space_group_name_H-M_alt 'R -3 m'
_space_group_IT_number 166
_space_group_name_Hall '-R 3 2"'
_cell_length_a 3.4859
_cell_length_b 3.4859
_cell_length_c 16.9419
_cell_angle_alpha 90.00
_cell_angle_beta 90.00
_cell_angle_gamma 120.00
loop_
_atom_site_label
_atom_site_type_symbol
_atom_site_fract_x
_atom_site_fract_y
_atom_site_fract_z
Na1 Na 0.0000 0.0000 0.0000
Np1 Np 0.0000 0.0000 0.5000
N1 N 0.0000 0.0000 0.2267
```

formation energy from raw total energies: -844 meV per atom
E_tot: -8.57 eV per atom
energy above the lowest structure with this stoichiometry: 0.0 meV/atom
DOS(E_F): 1.342 states/eV per atom

=====

This record from the Alexandria database describes crystalline Re2AuNCl at its relaxed geometry. The functional is GGA-PBE.

CIF file:
```
data_Re2AuNCl
_space_group_name_H-M_alt 'P 4/m m m'
_space_group_IT_number 123
_space_group_name_Hall '-P 4 2'
_cell_length_a 5.2294
_cell_length_b 5.2294
_cell_length_c 5.1476
_cell_angle_alpha 90.00
_cell_angle_beta 90.00
_cell_angle_gamma 90.00
loop_
_atom_site_label
_atom_site_type_symbol
_atom_site_fract_x
_atom_site_fract_y
_atom_site_fract_z
Re1 Re 0.0000 0.5000 0.0000
Au1 Au 0.0000 0.0000 0.0000
N1 N 0.5000 0.5000 0.5000
Cl1 Cl 0.0000 0.0000 0.5000
```

formation energy from raw total energies: 3195 meV per atom
E_tot: -4.47 eV per atom
DOS(E_F): 0.477 states/eV per atom

=====

This record from the Alexandria database describes crystalline NaVPbS4 at its relaxed geometry. The functional is GGA-PBE.

CIF file:
```
data_NaVPbS4
_space_group_name_H-M_alt 'P 1 21/m 1'
_space_group_IT_number 11
_cell_length_a 6.6274
_cell_length_b 6.8016
_cell_length_c 8.1966
_cell_angle_alpha 90.00
_cell_angle_beta 109.21
_cell_angle_gamma 90.00
loop_
_space_group_symop_operation_xyz
'x,y,z'
'-x,-y,-z'
'-x,y+1/2,-z'
'x,-y+1/2,z'
loop_
_atom_site_label
_atom_site_type_symbol
_atom_site_fract_x
_atom_site_fract_y
_atom_site_fract_z
Na1 Na 0.2131 0.2500 0.0427
V1 V 0.2333 0.7500 0.8054
Pb1 Pb 0.2358 0.2500 0.5574
S1 S 0.0104 0.9997 0.7345
S2 S 0.3988 0.7500 0.0737
S3 S 0.4303 0.7500 0.6445
```

formation energy from raw total energies: -769 meV per atom
E_tot: -5.15 eV per atom

=====

Q: What is the formation energy from raw total energies in the fourth record?
A: -769 meV per atom